No. 1
VASP calculation (PBE) on crystalline CdIn2Cu2 at its relaxed geometry.

a = 4.2943 Å, b = 4.2943 Å, c = 6.4672 Å
α = 70.61°, β = 70.61°, γ = 90.00°
Sites, in units of the cell vectors:
1 Cd 0.0000 0.0000 0.0000
2 Cu 0.3967 0.3967 0.2066
3 Cu 0.6033 0.6033 0.7934
4 In 0.7500 0.2500 0.5000
5 In 0.2500 0.7500 0.5000

Values from the calculation:
For the energy of formation, the calculation gives 0.23 eV/atom. For the magnetization, the calculation gives 0.00 μB/atom. The density of states at the Fermi level comes out at 1.950 states/eV per cell. Its total energy is -13.44 eV per formula unit.


No. 2
VASP calculation (PBE) on crystalline Cd3InCu at its relaxed geometry.

a = 6.7769 Å, b = 6.7769 Å, c = 6.6957 Å
α = 106.09°, β = 116.27°, γ = 106.79°
Sites, in units of the cell vectors:
1 Cd 0.8613 0.1067 0.3364
2 Cd 0.2297 0.4751 0.3364
3 Cd 0.7703 0.5249 0.6636
4 Cd 0.6956 0.4351 0.1307
5 Cd 0.1387 0.8933 0.6636
6 Cd 0.3044 0.5649 0.8693
7 In 0.7245 0.0708 0.7952
8 In 0.2755 0.9292 0.2048
9 Cu 0.6284 0.7564 0.3848
10 Cu 0.3716 0.2436 0.6152

Values from the calculation:
For the energy of formation, the calculation gives 0.09 eV/atom. For the magnetization, the calculation gives 0.00 μB/atom. The density of states at the Fermi level comes out at 2.849 states/eV per cell. Its total energy is -9.13 eV per formula unit.


No. 3
VASP calculation (PBE) on crystalline Cd2InCu2 at its relaxed geometry.

a = 7.8917 Å, b = 7.8917 Å, c = 3.0005 Å
α = 90.00°, β = 90.00°, γ = 90.00°
Sites, in units of the cell vectors:
1 Cd 0.1779 0.6779 0.5000
2 Cd 0.6779 0.8221 0.5000
3 Cd 0.8221 0.3221 0.5000
4 Cd 0.3221 0.1779 0.5000
5 Cu 0.3851 0.8851 0.0000
6 Cu 0.8851 0.6149 0.0000
7 Cu 0.6149 0.1149 0.0000
8 Cu 0.1149 0.3851 0.0000
9 In 0.0000 0.0000 0.0000
10 In 0.5000 0.5000 0.0000

Values from the calculation:
For the energy of formation, the calculation gives 0.09 eV/atom. For the magnetization, the calculation gives 0.00 μB/atom. The density of states at the Fermi level comes out at 2.235 states/eV per cell. Its total energy is -12.30 eV per formula unit.